(1)
VASP calculation (PBE) on crystalline HfBe2Zn2 at its relaxed geometry.

The value obtained for the excess energy over the best structure of this formula in the dataset is 3.06 kcal/mol of atoms. The total magnetization comes out at 0.000 μB per atom. The volume comes out at 13.48 Å³ per atom. Its space-group type is P4/mbm, No. 127. The energy comes out at -3.90 eV/atom.

Cell lengths 7.1987, 7.1987, 2.6005 Å; angles 90.00, 90.00, 90.00 degrees
Last column: nearest neighbours and their distance in Å.
Atoms (fractional coordinates):
Be 0.1736 0.6736 0.5000  6 Zn 2.42-2.54, 2 Be 2.60
Be 0.6736 0.8264 0.5000  6 Zn 2.42-2.54, 2 Be 2.60
Be 0.8264 0.3264 0.5000  6 Zn 2.42-2.54, 2 Be 2.60
Be 0.3264 0.1736 0.5000  6 Zn 2.42-2.54, 2 Be 2.60
Zn 0.3741 0.8741 0.0000  6 Be 2.42-2.54, 3 Zn 2.56-2.60
Zn 0.8741 0.6259 0.0000  6 Be 2.42-2.54, 3 Zn 2.56-2.60
Zn 0.6259 0.1259 0.0000  6 Be 2.42-2.54, 3 Zn 2.56-2.60
Zn 0.1259 0.3741 0.0000  6 Be 2.42-2.54, 3 Zn 2.56-2.60
Hf 0.0000 0.0000 0.0000  2 Hf 2.60, 4 Zn 2.84
Hf 0.5000 0.5000 0.0000  2 Hf 2.60, 4 Zn 2.84

=====

(2)
VASP calculation (PBE) on crystalline Nd4SmHo2Th at its relaxed geometry.

The total magnetization comes out at 0.000 μB per atom. The volume comes out at 33.65 Å³ per atom. Its space-group type is Pmmm, No. 47. The energy comes out at -5.01 eV/atom.

Cell lengths 5.1198, 5.1123, 11.4888 Å; angles 63.55, 90.00, 90.00 degrees
Last column: nearest neighbours and their distance in Å.
Atoms (fractional coordinates):
Nd 0.0000 0.7524 0.7474  2 Th 3.61, 4 Ho 3.61-3.65, 4 Nd 3.62, 2 Sm 3.65
Nd 0.0000 0.2476 0.2526  2 Th 3.61, 4 Ho 3.61-3.65, 4 Nd 3.62, 2 Sm 3.65
Nd 0.5000 0.7464 0.2536  4 Ho 3.60-3.65, 2 Th 3.60, 4 Nd 3.62, 2 Sm 3.65
Nd 0.5000 0.2536 0.7464  4 Ho 3.60-3.65, 2 Th 3.60, 4 Nd 3.62, 2 Sm 3.65
Sm 0.5000 0.5000 0.0000  4 Ho 3.62, 8 Nd 3.65
Ho 0.0000 0.0000 0.0000  4 Sm 3.62, 8 Nd 3.64-3.65
Ho 0.5000 0.0000 0.5000  8 Nd 3.60-3.61, 4 Th 3.62
Th 0.0000 0.5000 0.5000  8 Nd 3.60-3.61, 4 Ho 3.62

=====

(3)
VASP calculation (PBE) on crystalline CaSm2Tc at its relaxed geometry.

The value obtained for the excess energy over the best structure of this formula in the dataset is 5.88 kcal/mol of atoms. The total magnetization comes out at 0.000 μB per atom. The volume comes out at 31.14 Å³ per atom. Its space-group type is R-3m, No. 166. The energy comes out at -5.14 eV/atom.

Cell lengths 3.6007, 3.6007, 11.2881 Å; angles 80.82, 80.82, 60.00 degrees
Last column: nearest neighbours and their distance in Å.
Atoms (fractional coordinates):
Ca 0.0000 0.0000 0.0000  2 Sm 3.56, 6 Ca 3.60
Tc 0.5000 0.5000 0.5000  6 Sm 2.87
Sm 0.1071 0.1071 0.6788  3 Tc 2.87
Sm 0.8929 0.8929 0.3212  3 Tc 2.87

=====

(4)
VASP calculation (PBE) on crystalline P2RhSO at its relaxed geometry.

The value obtained for the excess energy over the best structure of this formula in the dataset is 3.48 kcal/mol of atoms. The total magnetization comes out at 0.000 μB per atom. For the uncorrected formation energy, the calculation gives 55 kJ/mol of atoms. The volume comes out at 13.90 Å³ per atom. Its space-group type is P4/mmm, No. 123. The energy comes out at -4.88 eV/atom.

Cell lengths 3.9803, 3.9803, 4.3860 Å; angles 90.00, 90.00, 90.00 degrees
Last column: nearest neighbours and their distance in Å.
Atoms (fractional coordinates):
P 0.0000 0.5000 0.0000  2 O 1.99
P 0.5000 0.0000 0.0000  2 O 1.99
S 0.0000 0.0000 0.5000  2 O 2.19
Rh 0.5000 0.5000 0.5000  4 S 2.81, 8 P 2.96
O 0.0000 0.0000 0.0000  4 P 1.99, 2 S 2.19

=====

(5)
VASP calculation (PBE) on crystalline Ba2Ca2Pd at its relaxed geometry.

The value obtained for the excess energy over the best structure of this formula in the dataset is 3.62 kcal/mol of atoms. The total magnetization comes out at 0.000 μB per atom. The volume comes out at 44.57 Å³ per atom. Its space-group type is P4/mbm, No. 127. The energy comes out at -2.56 eV/atom.

Cell lengths 8.1625, 8.1625, 6.6892 Å; angles 90.00, 90.00, 90.00 degrees
Last column: nearest neighbours and their distance in Å.
Atoms (fractional coordinates):
Ca 0.1683 0.6683 0.5000  2 Ba 3.85, 5 Ca 3.89-4.29
Ca 0.6683 0.8317 0.5000  2 Ba 3.85, 5 Ca 3.89-4.29
Ca 0.8317 0.3317 0.5000  2 Ba 3.85, 5 Ca 3.89-4.29
Ca 0.3317 0.1683 0.5000  2 Ba 3.85, 5 Ca 3.89-4.29
Ba 0.3334 0.8334 0.0000  2 Pd 3.04
Ba 0.8334 0.6666 0.0000  2 Pd 3.04
Ba 0.6666 0.1666 0.0000  2 Pd 3.04
Ba 0.1666 0.3334 0.0000  2 Pd 3.04
Pd 0.0000 0.0000 0.0000  4 Ba 3.04
Pd 0.5000 0.5000 0.0000  4 Ba 3.04

=====

(6)
VASP calculation (PBE) on crystalline BeVNi5 at its relaxed geometry.

The value obtained for the excess energy over the best structure of this formula in the dataset is 5.25 kcal/mol of atoms. The total magnetization comes out at 0.000 μB per atom. The volume comes out at 11.55 Å³ per atom. Its space-group type is C2/c, No. 15. The energy comes out at -5.93 eV/atom.

Cell lengths 4.8032, 4.8032, 8.9677 Å; angles 63.53, 63.53, 67.88 degrees
Last column: nearest neighbours and their distance in Å.
Atoms (fractional coordinates):
Be 0.0000 0.0000 0.0000  6 Ni 2.28-2.45
Be 0.0000 0.0000 0.5000  6 Ni 2.28-2.45
V 0.6645 0.3355 0.2500  7 Ni 2.27-2.51
V 0.3355 0.6645 0.7500  7 Ni 2.27-2.51
Ni 0.5830 0.8789 0.2562  1 Be 2.28, 2 V 2.34-2.51, 5 Ni 2.35-2.53
Ni 0.2683 0.4594 0.4881  1 V 2.28, 6 Ni 2.38-2.53, 1 Be 2.45
Ni 0.8789 0.5830 0.7562  1 Be 2.28, 2 V 2.34-2.51, 5 Ni 2.35-2.53
Ni 0.0885 0.9115 0.2500  1 V 2.27, 2 Be 2.29, 6 Ni 2.35-2.47
Ni 0.5406 0.7317 0.0119  1 V 2.28, 6 Ni 2.38-2.53, 1 Be 2.45
Ni 0.4594 0.2683 0.9881  1 V 2.28, 6 Ni 2.38-2.53, 1 Be 2.45
Ni 0.9115 0.0885 0.7500  1 V 2.27, 2 Be 2.29, 6 Ni 2.35-2.47
Ni 0.1211 0.4170 0.2438  1 Be 2.28, 2 V 2.34-2.51, 5 Ni 2.35-2.53
Ni 0.7317 0.5406 0.5119  1 V 2.28, 6 Ni 2.38-2.53, 1 Be 2.45
Ni 0.4170 0.1211 0.7438  1 Be 2.28, 2 V 2.34-2.51, 5 Ni 2.35-2.53

=====

(7)
VASP calculation (PBE) on crystalline YMg2CuHg at its relaxed geometry.

The total magnetization comes out at 0.000 μB per atom. The volume comes out at 25.51 Å³ per atom. Its space-group type is P4/mmm, No. 123. The energy comes out at -2.55 eV/atom.

Cell lengths 5.0845, 4.9347, 5.0845 Å; angles 90.00, 90.00, 90.00 degrees
Last column: nearest neighbours and their distance in Å.
Atoms (fractional coordinates):
Y 0.5000 0.5000 0.5000  8 Mg 3.54, 4 Cu 3.60
Mg 0.0000 0.0000 0.5000  2 Hg 2.54
Mg 0.5000 0.0000 0.0000  2 Hg 2.54
Hg 0.0000 0.0000 0.0000  2 Cu 2.47, 4 Mg 2.54
Cu 0.0000 0.5000 0.0000  2 Hg 2.47

=====

(8)
VASP calculation (PBE) on crystalline Zn2Te at its relaxed geometry.

The value obtained for the excess energy over the best structure of this formula in the dataset is 0.88 kcal/mol of atoms. The total magnetization comes out at 0.000 μB per atom. For the uncorrected formation energy, the calculation gives -8 kJ/mol of atoms. The volume comes out at 27.43 Å³ per atom. Its space-group type is P-6m2, No. 187. The energy comes out at -1.98 eV/atom.

Cell lengths 4.2066, 4.2066, 5.3691 Å; angles 90.00, 90.00, 120.00 degrees
Last column: nearest neighbours and their distance in Å.
Atoms (fractional coordinates):
Zn 0.0000 0.0000 0.7222  1 Zn 2.39
Zn 0.0000 0.0000 0.2778  1 Zn 2.39
Te 0.3333 0.6667 0.0000  6 Zn 2.85

=====

(9)
VASP calculation (PBE) on crystalline SnI2OF at its relaxed geometry.

The value obtained for the excess energy over the best structure of this formula in the dataset is 0.00 kcal/mol of atoms. The total magnetization comes out at 0.010 μB per atom. For the uncorrected formation energy, the calculation gives -27 kJ/mol of atoms. The volume comes out at 27.54 Å³ per atom. Its space-group type is P4/mmm, No. 123. The energy comes out at -3.07 eV/atom.

Cell lengths 5.9316, 5.9316, 3.9144 Å; angles 90.00, 90.00, 90.00 degrees
Last column: nearest neighbours and their distance in Å.
Atoms (fractional coordinates):
I 0.0000 0.5000 0.0000  2 Sn 2.97
I 0.5000 0.0000 0.0000  2 Sn 2.97
Sn 0.0000 0.0000 0.0000  2 O 1.96
O 0.0000 0.0000 0.5000  2 Sn 1.96
F 0.5000 0.5000 0.5000  8 I 3.55, 2 F 3.91

=====

(10)
VASP calculation (PBE) on crystalline Sr3SbPd9Au2 at its relaxed geometry.

The total magnetization comes out at 0.000 μB per atom. For the uncorrected formation energy, the calculation gives -20 kJ/mol of atoms. The volume comes out at 25.41 Å³ per atom. Its space-group type is P-3m1, No. 164. The energy comes out at -4.37 eV/atom.

Cell lengths 6.8334, 6.8334, 9.4258 Å; angles 90.00, 90.00, 120.00 degrees
Last column: nearest neighbours and their distance in Å.
Atoms (fractional coordinates):
Sr 0.3333 0.6667 0.7244  9 Pd 3.26-3.44
Sr 0.0000 0.0000 0.0000  12 Pd 3.10-3.42
Sr 0.6667 0.3333 0.2756  9 Pd 3.26-3.44
Sb 0.0000 0.0000 0.5000  6 Pd 2.57
Pd 0.8677 0.1323 0.7161  1 Au 2.53, 1 Sb 2.57, 2 Pd 2.71
Pd 0.8677 0.7354 0.7161  1 Au 2.53, 1 Sb 2.57, 2 Pd 2.71
Pd 0.2646 0.1323 0.7161  1 Au 2.53, 1 Sb 2.57, 2 Pd 2.71
Pd 0.7354 0.8677 0.2839  1 Au 2.53, 1 Sb 2.57, 2 Pd 2.71
Pd 0.1323 0.2646 0.2839  1 Au 2.53, 1 Sb 2.57, 2 Pd 2.71
Pd 0.1323 0.8677 0.2839  1 Au 2.53, 1 Sb 2.57, 2 Pd 2.71
Pd 0.5000 0.0000 0.0000  2 Au 2.67
Pd 0.0000 0.5000 0.0000  2 Au 2.67
Pd 0.5000 0.5000 0.0000  2 Au 2.67
Au 0.3333 0.6667 0.1913  6 Pd 2.53-2.67
Au 0.6667 0.3333 0.8087  6 Pd 2.53-2.67

=====

(11)
VASP calculation (PBE) on crystalline Li2Y2Rh at its relaxed geometry.

The value obtained for the excess energy over the best structure of this formula in the dataset is 3.92 kcal/mol of atoms. The total magnetization comes out at 0.000 μB per atom. The volume comes out at 20.39 Å³ per atom. Its space-group type is P4/mbm, No. 127. The energy comes out at -4.86 eV/atom.

Cell lengths 6.7189, 6.7189, 4.5164 Å; angles 90.00, 90.00, 90.00 degrees
Last column: nearest neighbours and their distance in Å.
Atoms (fractional coordinates):
Y 0.1955 0.6955 0.5000  6 Li 2.82-3.16
Y 0.6955 0.8045 0.5000  6 Li 2.82-3.16
Y 0.8045 0.3045 0.5000  6 Li 2.82-3.16
Y 0.3045 0.1955 0.5000  6 Li 2.82-3.16
Rh 0.0000 0.0000 0.0000  4 Li 2.65
Rh 0.5000 0.5000 0.0000  4 Li 2.65
Li 0.3738 0.8738 0.0000  1 Li 2.40, 2 Rh 2.65
Li 0.8738 0.6262 0.0000  1 Li 2.40, 2 Rh 2.65
Li 0.6262 0.1262 0.0000  1 Li 2.40, 2 Rh 2.65
Li 0.1262 0.3738 0.0000  1 Li 2.40, 2 Rh 2.65

=====

(12)
VASP calculation (PBE) on crystalline LiSi3Ir at its relaxed geometry.

The value obtained for the excess energy over the best structure of this formula in the dataset is 0.00 kcal/mol of atoms. The total magnetization comes out at 0.000 μB per atom. For the uncorrected formation energy, the calculation gives 43 kJ/mol of atoms. The volume comes out at 20.83 Å³ per atom. Its space-group type is Pm-3m, No. 221. The energy comes out at -4.96 eV/atom.

Cell lengths 4.7052, 4.7052, 4.7052 Å; angles 90.00, 90.00, 90.00 degrees
Last column: nearest neighbours and their distance in Å.
Atoms (fractional coordinates):
Si 0.0000 0.5000 0.0000  2 Ir 2.35
Si 0.0000 0.0000 0.5000  2 Ir 2.35
Si 0.5000 0.0000 0.0000  2 Ir 2.35
Ir 0.0000 0.0000 0.0000  6 Si 2.35
Li 0.5000 0.5000 0.5000  12 Si 3.33